Version one
Here is an optimized crystal structure of CaNb2B2 from the Alexandria database. Energies are from PBE-GGA.

## Properties
- magnetic moment (μB per cell) = 0.000
- theoretical density (Mg/m³) = 4.77

a = 4.2666 Å, b = 4.2666 Å, c = 5.6172 Å
α = 67.68°, β = 67.68°, γ = 90.00°
Fractional coordinates of all 5 atoms:
Nb1 0.3183 0.3183 0.3634
B1 0.2500 0.7500 0.5000
Nb2 0.6817 0.6817 0.6366
B2 0.7500 0.2500 0.5000
Ca1 0.0000 0.0000 0.0000

Version two
Here is an optimized crystal structure of CaNb2B2 from the Alexandria database. Energies are from PBE-GGA.

## Properties
- magnetic moment (μB per cell) = 0.000
- theoretical density (Mg/m³) = 5.64

a = 7.3261 Å, b = 7.3261 Å, c = 2.7167 Å
α = 90.00°, β = 90.00°, γ = 90.00°
Fractional coordinates of all 10 atoms:
Nb1 0.1269 0.3731 0.0000
B1 0.1667 0.6667 0.5000
Nb2 0.6269 0.1269 0.0000
B2 0.8333 0.3333 0.5000
B3 0.6667 0.8333 0.5000
Nb3 0.3731 0.8731 0.0000
Ca1 0.0000 0.0000 0.0000
Nb4 0.8731 0.6269 0.0000
Ca2 0.5000 0.5000 0.0000
B4 0.3333 0.1667 0.5000

The computed energies, referenced to the most stable structure and given in meV/atom, are version one 0; version two 372.

Version one
Here is an optimized crystal structure of CaNi3B from the Alexandria database. Energies are from PBE-GGA.

## Properties
- magnetic moment (μB per cell) = 0.000
- theoretical density (Mg/m³) = 5.77

a = 5.0187 Å, b = 5.9967 Å, c = 5.8431 Å
α = 120.87°, β = 115.43°, γ = 90.00°
Fractional coordinates of all 10 atoms:
Ni1 0.6537 0.5618 0.9983
Ni2 0.6537 0.0622 0.9983
Ca1 0.1532 0.0620 0.4984
Ni3 0.1538 0.5623 0.9985
B1 0.8240 0.7326 0.8395
Ni4 0.6536 0.3306 0.4984
B2 0.4830 0.3915 0.1573
Ca2 0.1536 0.5620 0.4984
Ni5 0.1538 0.0619 0.9985
Ni6 0.6536 0.7935 0.4984

Version two
Here is an optimized crystal structure of CaNi3B from the Alexandria database. Energies are from PBE-GGA.

## Properties
- magnetic moment (μB per cell) = 0.000
- theoretical density (Mg/m³) = 4.21

a = 4.4751 Å, b = 4.4751 Å, c = 4.4751 Å
α = 90.00°, β = 90.00°, γ = 90.00°
Fractional coordinates of all 5 atoms:
Ni1 0.5000 0.0000 0.0000
Ni2 0.0000 0.5000 0.0000
Ni3 0.0000 0.0000 0.5000
Ca1 0.0000 0.0000 0.0000
B1 0.5000 0.5000 0.5000

Version three
Here is an optimized crystal structure of CaNi3B from the Alexandria database. Energies are from PBE-GGA.

## Properties
- magnetic moment (μB per cell) = 0.000
- theoretical density (Mg/m³) = 5.85

a = 4.0081 Å, b = 4.0081 Å, c = 4.0081 Å
α = 90.00°, β = 90.00°, γ = 90.00°
Fractional coordinates of all 5 atoms:
Ni1 0.5000 0.0000 0.0000
B1 0.0000 0.0000 0.0000
Ca1 0.5000 0.5000 0.5000
Ni2 0.0000 0.0000 0.5000
Ni3 0.0000 0.5000 0.0000

The computed energies, referenced to the most stable structure and given in meV/atom, are version one 18; version two 2529; version three 0.

Version one
Here is an optimized crystal structure of CaNiB2 from the Alexandria database. Energies are from PBE-GGA.

## Properties
- magnetic moment (μB per cell) = 0.000
- theoretical density (Mg/m³) = 4.31

a = 4.0317 Å, b = 4.0317 Å, c = 4.0317 Å
α = 60.00°, β = 60.00°, γ = 60.00°
Fractional coordinates of all 4 atoms:
Ca1 0.0000 0.0000 0.0000
B1 0.2500 0.2500 0.2500
B2 0.7500 0.7500 0.7500
Ni1 0.5000 0.5000 0.5000

Version two
Here is an optimized crystal structure of CaNiB2 from the Alexandria database. Energies are from PBE-GGA.

## Properties
- magnetic moment (μB per cell) = 0.000
- theoretical density (Mg/m³) = 3.68

a = 4.0262 Å, b = 4.0262 Å, c = 7.2853 Å
α = 73.96°, β = 73.96°, γ = 90.00°
Fractional coordinates of all 8 atoms:
B1 0.8750 0.6250 0.2500
B2 0.8750 0.1250 0.2500
Ni1 0.7500 0.2500 0.5000
B3 0.3750 0.1250 0.7500
Ca1 0.2500 0.7500 0.5000
Ni2 0.0000 0.0000 0.0000
B4 0.8750 0.1250 0.7500
Ca2 0.5000 0.5000 0.0000

The computed energies, referenced to the most stable structure and given in meV/atom, are version one 709; version two 0.

Version one
Here is an optimized crystal structure of CaNi4B4 from the Alexandria database. Energies are from PBE-GGA.

## Properties
- magnetic moment (μB per cell) = 0.000
- theoretical density (Mg/m³) = 5.53

a = 3.8155 Å, b = 7.0744 Å, c = 7.0744 Å
α = 90.00°, β = 90.00°, γ = 90.00°
Fractional coordinates of all 18 atoms:
Ni1 0.1109 0.1407 0.6133
B1 0.8919 0.6691 0.1994
Ni2 0.8891 0.3867 0.1407
Ni3 0.6109 0.1133 0.3593
Ca1 0.0000 0.0000 0.0000
Ni4 0.6109 0.8867 0.6407
Ni5 0.8891 0.6133 0.8593
B2 0.3919 0.3006 0.1691
Ca2 0.5000 0.5000 0.5000
B3 0.6081 0.1691 0.6994
B4 0.6081 0.8309 0.3006
B5 0.8919 0.3309 0.8006
B6 0.3919 0.6994 0.8309
B7 0.1081 0.1994 0.3309
Ni6 0.1109 0.8593 0.3867
Ni7 0.3891 0.3593 0.8867
Ni8 0.3891 0.6407 0.1133
B8 0.1081 0.8006 0.6691

Version two
Here is an optimized crystal structure of CaNi4B4 from the Alexandria database. Energies are from PBE-GGA.

## Properties
- magnetic moment (μB per cell) = 0.000
- theoretical density (Mg/m³) = 5.88

a = 5.0531 Å, b = 5.0531 Å, c = 7.0341 Å
α = 90.00°, β = 90.00°, γ = 90.00°
Fractional coordinates of all 18 atoms:
Ca1 0.0000 0.0000 0.0000
Ni1 0.7519 0.0000 0.6345
Ni2 0.5000 0.2519 0.1345
B1 0.1710 0.5000 0.1604
Ni3 0.5000 0.7481 0.1345
Ni4 0.2519 0.5000 0.8655
B2 0.5000 0.1710 0.8396
B3 0.5000 0.8290 0.8396
Ni5 0.2481 0.0000 0.6345
B4 0.3290 0.0000 0.3396
B5 0.8290 0.5000 0.1604
Ca2 0.5000 0.5000 0.5000
B6 0.0000 0.3290 0.6604
B7 0.6710 0.0000 0.3396
Ni6 0.0000 0.7519 0.3655
Ni7 0.0000 0.2481 0.3655
B8 0.0000 0.6710 0.6604
Ni8 0.7481 0.5000 0.8655

The computed energies, referenced to the most stable structure and given in meV/atom, are version one 0; version two 15.

Version one
Here is an optimized crystal structure of CaNiB from the Alexandria database. Energies are from PBE-GGA.

## Properties
- magnetic moment (μB per cell) = 0.000
- theoretical density (Mg/m³) = 3.94

a = 4.3166 Å, b = 3.5140 Å, c = 3.5140 Å
α = 120.00°, β = 90.00°, γ = 90.00°
Fractional coordinates of all 3 atoms:
Ca1 0.6667 0.3333 0.6667
Ni1 0.1667 0.0000 0.0000
B1 0.1666 0.6667 0.3333

Version two
Here is an optimized crystal structure of CaNiB from the Alexandria database. Energies are from PBE-GGA.

## Properties
- magnetic moment (μB per cell) = 0.000
- theoretical density (Mg/m³) = 3.68

a = 3.5155 Å, b = 5.1923 Å, c = 10.8239 Å
α = 90.00°, β = 90.00°, γ = 90.00°
Fractional coordinates of all 12 atoms:
Ni1 0.7500 0.7499 0.3105
B1 0.2500 0.2500 0.1251
Ni2 0.2500 0.2501 0.6895
Ca1 0.7500 0.7500 0.5942
B2 0.2500 0.7500 0.3749
Ni3 0.7500 0.2499 0.1895
B3 0.7500 0.2500 0.6251
Ni4 0.2500 0.7501 0.8105
Ca2 0.2500 0.7500 0.0942
Ca3 0.2500 0.2500 0.4058
B4 0.7500 0.7500 0.8749
Ca4 0.7500 0.2500 0.9058

The computed energies, referenced to the most stable structure and given in meV/atom, are version one 0; version two 175.

Version one
Here is an optimized crystal structure of Ca2TiNiB from the Alexandria database. Energies are from PBE-GGA.

## Properties
- magnetic moment (μB per cell) = 2.157
- theoretical density (Mg/m³) = 2.60

a = 5.6666 Å, b = 3.9318 Å, c = 5.6666 Å
α = 90.00°, β = 90.00°, γ = 90.00°
Last column: magnetic moment on the atom in μB.
Fractional coordinates of all 5 atoms:
Ca1 0.0000 0.0000 0.5000  0.12
B1 0.0000 0.5000 0.0000  0.00
Ni1 0.5000 0.5000 0.5000  0.64
Ti1 0.0000 0.0000 0.0000  0.96
Ca2 0.5000 0.0000 0.0000  0.07

Version two
Here is an optimized crystal structure of Ca2TiNiB from the Alexandria database. Energies are from PBE-GGA.

## Properties
- magnetic moment (μB per cell) = 1.394
- theoretical density (Mg/m³) = 2.46

a = 5.6617 Å, b = 4.1596 Å, c = 5.6617 Å
α = 90.00°, β = 90.00°, γ = 90.00°
Last column: magnetic moment on the atom in μB.
Fractional coordinates of all 5 atoms:
Ti1 0.0000 0.0000 0.0000  0.98
Ca1 0.0000 0.0000 0.5000  0.12
Ca2 0.5000 0.0000 0.0000  0.07
Ni1 0.0000 0.5000 0.0000  -0.01
B1 0.5000 0.5000 0.5000  -0.08

The computed energies, referenced to the most stable structure and given in meV/atom, are version one 0; version two 224.

Version one
Here is an optimized crystal structure of CaB3O6 from the Alexandria database. Energies are from PBE-GGA.

## Properties
- magnetic moment (μB per cell) = 4.101
- theoretical density (Mg/m³) = 2.70

a = 10.2118 Å, b = 6.7118 Å, c = 6.8143 Å
α = 62.71°, β = 90.00°, γ = 90.00°
Last column: magnetic moment on the atom in μB.
Fractional coordinates of all 40 atoms:
O1 0.7465 0.8655 0.0950  0.01
O2 0.2465 0.1345 0.4050  0.01
B1 0.9233 0.1383 0.2305  0.00
O3 0.8142 0.2282 0.3126  0.03
O4 0.1272 0.4339 0.4360  0.48
O5 0.0409 0.2727 0.2075  0.07
O6 0.4557 0.0984 0.1165  0.27
Ca1 0.0731 0.3955 0.7904  0.00
O7 0.8892 0.1745 0.0056  0.02
B2 0.3832 0.2324 0.9093  -0.01
Ca2 0.4269 0.3955 0.2904  0.00
O8 0.3892 0.8255 0.4944  0.02
B3 0.7275 0.0907 0.4697  0.00
O9 0.3142 0.7718 0.1874  0.03
O10 0.7535 0.8655 0.5950  0.01
O11 0.2535 0.1345 0.9050  0.01
O12 0.9591 0.7273 0.7925  0.07
O13 0.3728 0.4339 0.9360  0.48
Ca3 0.9269 0.6045 0.2096  0.00
B4 0.0767 0.8617 0.7695  0.00
B5 0.2275 0.9093 0.0303  0.00
O14 0.0443 0.0984 0.6165  0.27
O15 0.5409 0.7273 0.2925  0.07
B6 0.5767 0.1383 0.7305  0.00
O16 0.6108 0.1745 0.5056  0.02
O17 0.6858 0.2282 0.8126  0.03
B7 0.8832 0.7676 0.5907  -0.01
Ca4 0.5731 0.6045 0.7096  0.00
O18 0.1108 0.8255 0.9944  0.02
O19 0.4591 0.2727 0.7075  0.07
B8 0.1168 0.2324 0.4093  -0.01
B9 0.6168 0.7676 0.0907  -0.01
O20 0.1858 0.7718 0.6874  0.03
B10 0.2725 0.9093 0.5303  0.00
B11 0.7725 0.0907 0.9697  0.00
O21 0.6272 0.5661 0.0640  0.48
O22 0.9557 0.9016 0.3835  0.27
O23 0.5443 0.9016 0.8835  0.27
B12 0.4233 0.8617 0.2695  0.00
O24 0.8728 0.5661 0.5640  0.48

Version two
Here is an optimized crystal structure of CaB3O6 from the Alexandria database. Energies are from PBE-GGA.

## Properties
- magnetic moment (μB per cell) = 4.105
- theoretical density (Mg/m³) = 2.60

a = 4.4261 Å, b = 7.0484 Å, c = 13.8177 Å
α = 90.00°, β = 90.00°, γ = 90.00°
Last column: magnetic moment on the atom in μB.
Fractional coordinates of all 40 atoms:
B1 0.5524 0.8619 0.8523  -0.01
B2 0.5524 0.6381 0.3523  -0.01
O1 0.8632 0.2268 0.0759  0.06
O2 0.4563 0.3147 0.9783  0.50
O3 0.4217 0.4552 0.3218  0.03
O4 0.6082 0.7449 0.7644  0.02
O5 0.3632 0.7732 0.9241  0.06
B3 0.3408 0.1147 0.7329  0.00
O6 0.4805 0.4309 0.1467  0.02
B4 0.8408 0.8853 0.2671  0.00
B5 0.5435 0.2280 0.5771  -0.02
B6 0.0524 0.1381 0.1477  -0.01
B7 0.3408 0.3853 0.2329  0.00
O7 0.8528 0.8980 0.9002  0.24
O8 0.9805 0.9309 0.3533  0.02
O9 0.3632 0.7268 0.4241  0.06
Ca1 0.4856 0.7394 0.5894  0.00
O10 0.1082 0.2551 0.2356  0.02
O11 0.9563 0.8147 0.5217  0.50
O12 0.9563 0.6853 0.0217  0.50
B8 0.8408 0.6147 0.7671  0.00
Ca2 0.9856 0.2606 0.4106  0.00
O13 0.4563 0.1853 0.4783  0.50
O14 0.9805 0.5691 0.8533  0.02
O15 0.4805 0.0691 0.6467  0.02
O16 0.9217 0.5448 0.6782  0.03
O17 0.6082 0.7551 0.2644  0.02
O18 0.8528 0.6020 0.4002  0.24
O19 0.1082 0.2449 0.7356  0.02
O20 0.4217 0.0448 0.8218  0.03
O21 0.8632 0.2732 0.5759  0.06
B9 0.0435 0.7720 0.4229  -0.02
B10 0.5435 0.2720 0.0771  -0.02
B11 0.0435 0.7280 0.9229  -0.02
O22 0.3528 0.1020 0.0998  0.24
O23 0.3528 0.3980 0.5998  0.24
B12 0.0524 0.3619 0.6477  -0.01
Ca3 0.4856 0.7606 0.0894  0.00
Ca4 0.9856 0.2394 0.9106  0.00
O24 0.9217 0.9552 0.1782  0.03

The computed energies, referenced to the most stable structure and given in meV/atom, are version one 11; version two 0.

Version one
Here is an optimized crystal structure of Ca2B2O5 from the Alexandria database. Energies are from PBE-GGA.

## Properties
- magnetic moment (μB per cell) = 0.000
- theoretical density (Mg/m³) = 2.71

a = 3.5950 Å, b = 6.4006 Å, c = 19.3893 Å
α = 90.00°, β = 90.00°, γ = 90.00°
Fractional coordinates of all 36 atoms:
O1 0.2981 0.4433 0.9848
O2 0.7116 0.6740 0.7830
B1 0.1830 0.7172 0.1564
Ca1 0.2955 0.0552 0.9385
O3 0.5011 0.1999 0.5967
Ca2 0.2045 0.9448 0.4385
Ca3 0.7052 0.7016 0.2901
O4 0.1924 0.4829 0.6470
O5 0.2065 0.6435 0.3655
B2 0.6450 0.9971 0.5825
Ca4 0.7045 0.5552 0.5615
O6 0.7019 0.9433 0.5152
O7 0.8076 0.9829 0.8530
Ca5 0.7955 0.4448 0.0615
O8 0.7065 0.8565 0.6345
B3 0.3170 0.2828 0.6564
O9 0.9989 0.8001 0.0967
B4 0.6830 0.7828 0.8436
O10 0.7935 0.1435 0.1345
B5 0.8550 0.0029 0.0825
Ca6 0.2948 0.2016 0.2099
O11 0.2019 0.5567 0.4848
B6 0.8170 0.2172 0.3436
Ca7 0.7948 0.2984 0.7901
O12 0.2935 0.3565 0.8655
O13 0.2884 0.1740 0.7170
Ca8 0.2052 0.7984 0.7099
O14 0.2116 0.8260 0.2170
O15 0.7884 0.3260 0.2830
O16 0.6924 0.0171 0.3530
O17 0.0011 0.3001 0.4033
O18 0.3076 0.5171 0.1470
O19 0.7981 0.0567 0.0152
B7 0.3550 0.4971 0.9175
B8 0.1450 0.5029 0.4175
O20 0.4989 0.6999 0.9033

Version two
Here is an optimized crystal structure of Ca2B2O5 from the Alexandria database. Energies are from PBE-GGA.

## Properties
- magnetic moment (μB per cell) = 0.000
- theoretical density (Mg/m³) = 2.74

a = 5.2154 Å, b = 7.2731 Å, c = 11.6464 Å
α = 92.49°, β = 90.00°, γ = 90.00°
Fractional coordinates of all 36 atoms:
O1 0.5928 0.7744 0.0158
O2 0.8074 0.8904 0.8569
O3 0.3210 0.6441 0.5708
O4 0.4072 0.2256 0.9842
O5 0.6926 0.8904 0.3569
O6 0.6442 0.1465 0.1571
O7 0.9199 0.5937 0.6750
O8 0.1442 0.8535 0.3429
O9 0.1926 0.1096 0.1431
Ca1 0.9333 0.3832 0.1338
B1 0.4369 0.6644 0.0889
O10 0.9072 0.7744 0.5158
O11 0.4199 0.4063 0.8250
B2 0.5776 0.8445 0.9042
O12 0.1790 0.6441 0.0708
B3 0.9224 0.8445 0.4042
O13 0.0928 0.2256 0.4842
O14 0.8210 0.3559 0.9292
Ca2 0.5667 0.3832 0.6338
Ca3 0.4333 0.6168 0.3662
Ca4 0.0667 0.6168 0.8662
O15 0.3074 0.1096 0.6431
Ca5 0.3989 0.1230 0.3350
O16 0.0801 0.4063 0.3250
O17 0.6790 0.3559 0.4292
Ca6 0.1011 0.1230 0.8350
Ca7 0.8989 0.8770 0.1650
B4 0.4224 0.1555 0.0958
O18 0.3558 0.8535 0.8429
B5 0.0776 0.1555 0.5958
O19 0.8558 0.1465 0.6571
Ca8 0.6011 0.8770 0.6650
B6 0.5631 0.3356 0.9111
B7 0.0631 0.6644 0.5889
O20 0.5801 0.5937 0.1750
B8 0.9369 0.3356 0.4111

Version three
Here is an optimized crystal structure of Ca2B2O5 from the Alexandria database. Energies are from PBE-GGA.

## Properties
- magnetic moment (μB per cell) = 0.000
- theoretical density (Mg/m³) = 2.31

a = 5.2081 Å, b = 6.6510 Å, c = 8.6504 Å
α = 112.61°, β = 107.52°, γ = 90.00°
Fractional coordinates of all 18 atoms:
Ca1 0.8367 0.4674 0.7372
O1 0.7695 0.1099 0.0207
Ca2 0.5995 0.2302 0.2628
Ca3 0.1633 0.7302 0.2628
B1 0.0000 0.0889 0.0000
B2 0.7789 0.7151 0.5000
B3 0.2211 0.2151 0.5000
O2 0.2708 0.0960 0.3402
O3 0.2305 0.0893 0.9793
B4 0.5000 0.5889 0.0000
O4 0.7511 0.6099 0.0207
Ca4 0.4005 0.9674 0.7372
O5 0.0293 0.7833 0.5000
O6 0.2489 0.5893 0.9793
O7 0.5693 0.5960 0.3402
O8 0.4307 0.2559 0.6598
O9 0.7292 0.7559 0.6598
O10 0.9707 0.2833 0.5000

The computed energies, referenced to the most stable structure and given in meV/atom, are version one 0; version two 6; version three 196.